Record 1
Here is an optimized crystal structure of TlIr7 from the Open Quantum Materials Database. Energies are from PBE.

Computed properties:
Its energy above the lowest structure with this stoichiometry is 0.0 meV per atom. Its volume is 23.802 A^3/atom. As for the mass density: 13.52 g/cm3. The total magnetization comes out at 0.001 μB/f.u.

a b c (Å): 2.757 3.871 35.680
angles (deg): 90.00 90.00 90.00
Positions (direct):
Ir 0.500 0.500 0.558
Ir 0.500 0.500 0.711
Ir 0.500 0.500 0.481
Ir 0.500 0.500 0.404
Ir 0.500 0.500 0.328
Ir 0.000 0.000 0.442
Ir 0.000 0.000 0.366
Ir 0.000 0.000 0.596
Ir 0.500 0.500 0.253
Ir 0.000 0.000 0.672
Ir 0.000 0.000 0.289
Ir 0.500 0.500 0.634
Ir 0.000 0.000 0.519
Ir 0.000 0.000 0.747
Tl 0.000 0.000 0.198
Tl 0.500 0.500 0.802

Record 2
Here is an optimized crystal structure of Li2Zn2In2NiPt from the Open Quantum Materials Database. Energies are from PBE.

Computed properties:
Its volume is 15.251 A^3/atom. As for the mass density: 8.55 g/cm3. The total magnetization comes out at 0.000 μB/f.u. Its calculated total energy is -3.313 eV per atom.

a b c (Å): 4.412 4.412 6.268
angles (deg): 90.00 90.00 90.00
Positions (direct):
Pt 0.500 0.500 0.500
Zn 0.000 0.500 0.758
Zn 0.500 0.000 0.242
In 0.000 0.500 0.235
In 0.500 0.000 0.765
Li 0.000 0.000 0.500
Li 0.500 0.500 0.000
Ni 0.000 0.000 0.000

Record 3
Here is an optimized crystal structure of Zr4Ge3 from the Open Quantum Materials Database. Energies are from PBE.

Computed properties:
Its energy above the lowest structure with this stoichiometry is 74.9 meV per atom. Its volume is 22.830 A^3/atom. As for the mass density: 6.06 g/cm3. The total magnetization comes out at 0.001 μB/f.u.

a b c (Å): 8.309 8.309 5.346
angles (deg): 90.00 90.00 60.00
Positions (direct):
Ge 0.514 0.291 0.500
Ge 0.148 0.908 0.500
Ge 0.766 0.657 0.500
Ge 0.804 0.330 0.000
Ge 0.438 0.947 0.000
Ge 0.187 0.581 0.000
Zr 0.864 0.300 0.500
Zr 0.796 0.687 0.000
Zr 0.809 0.952 0.500
Zr 0.143 0.286 0.000
Zr 0.088 0.939 0.000
Zr 0.157 0.551 0.500
Zr 0.544 0.231 0.000
Zr 0.408 0.007 0.500

Record 4
Here is an optimized crystal structure of BaLuAgTeS2 from the Open Quantum Materials Database. Energies are from PBE.

Computed properties:
Its energy above the lowest structure with this stoichiometry is 120.0 meV per atom. Its volume is 28.165 A^3/atom. As for the mass density: 6.01 g/cm3. The total magnetization comes out at 0.007 μB/f.u.

a b c (Å): 7.733 7.733 10.994
angles (deg): 90.00 90.00 149.06
Positions (direct):
S 0.885 0.115 0.440
S 0.115 0.885 0.940
S 0.885 0.115 0.060
S 0.115 0.885 0.560
Te 0.399 0.601 0.750
Te 0.601 0.399 0.250
Lu 0.500 0.500 0.500
Lu 0.500 0.500 0.000
Ba 0.286 0.714 0.250
Ba 0.714 0.286 0.750
Ag 0.979 0.021 0.250
Ag 0.021 0.979 0.750

- Among the records above, which one has the highest mass density?
  TlIr7